Material: HfZr
Method: DFT, PBE
State: optimized geometry

## Properties
* size of the total moment: 0.000 Bohr magnetons per cell
* total energy: -8.9310 eV per atom
* energy above the lowest structure with this stoichiometry: 0.65 eV per formula unit
* ΔH_f (0 K): 0.6 eV per formula unit
* volume: 24.52 Å³/atom

abc: 10.497 10.497 3.084
angles: 90.00 90.00 120.00
Fractional coordinates of all 12 atoms:
Hf 0.386 0.523 0.750
Hf 0.477 0.863 0.750
Zr 0.941 0.710 0.250
Hf 0.137 0.614 0.750
Zr 0.290 0.232 0.250
Zr 0.710 0.768 0.750
Hf 0.614 0.477 0.250
Hf 0.523 0.137 0.250
Zr 0.059 0.290 0.750
Hf 0.863 0.386 0.250
Zr 0.768 0.059 0.250
Zr 0.232 0.941 0.750